This record from the Alexandria database describes SrPHAu2 after structural relaxation. The functional is PBE.

Calculated values
Total energy   -2.569 eV/atom
SG   P4/mmm, No. 123
Magnetization   0.00 μB/cell

a b c (Å): 5.6299 3.9431 5.6299
angles (deg): 90.00 90.00 90.00
Positions (direct):
1 Au 0.5000 0.0000 0.0000
2 Au 0.0000 0.0000 0.5000
3 P 0.5000 0.5000 0.5000
4 H 0.0000 0.5000 0.0000
5 Sr 0.0000 0.0000 0.0000


This record from the Alexandria database describes TlPHAu2 after structural relaxation. The functional is PBE.

Calculated values
Total energy   -3.435 eV/atom
SG   P4/mmm, No. 123
Magnetization   0.00 μB/cell

a b c (Å): 5.0524 5.0524 3.4916
angles (deg): 90.00 90.00 90.00
Positions (direct):
1 Tl 0.5000 0.5000 0.5000
2 P 0.0000 0.0000 0.0000
3 Au 0.5000 0.0000 0.0000
4 Au 0.0000 0.5000 0.0000
5 H 0.0000 0.0000 0.5000


This record from the Alexandria database describes VPH2Au after structural relaxation. The functional is PBE.

Calculated values
Total energy   -4.430 eV/atom
SG   P4/mmm, No. 123
Magnetization   1.82 μB/cell

a b c (Å): 3.5311 5.4916 3.5311
angles (deg): 90.00 90.00 90.00
Positions (direct):
1 H 0.5000 0.0000 0.0000
2 H 0.0000 0.0000 0.5000
3 P 0.5000 0.5000 0.5000
4 V 0.0000 0.0000 0.0000
5 Au 0.0000 0.5000 0.0000